1.
{
  "formula": "ReHgPb2",
  "functional": "PBE-GGA",
  "state": "optimized geometry",
  "spacegroup": "Imm2 (44)",
  "n_ef_per_ev_cell": 3.5,
  "mass_density_g_cm3": 13.0,
  "volume_a3_per_cell": 204.4,
  "magmom_total_mub_per_fu": 0.00,
  "ef_kcal_per_mol_atoms": 15.37,
  "lattice": [[3.062, 0.000, 0.000], [0.000, 4.758, 0.000], [0.000, 0.000, 14.029]],
  "species": ["Re", "Re", "Hg", "Hg", "Pb", "Pb", "Pb", "Pb"],
  "fractional_positions": [[0.000, 0.000, 0.000], [0.500, 0.500, 0.500], [0.000, 0.500, 0.682], [0.500, 0.000, 0.182], [0.000, 0.000, 0.503], [0.000, 0.500, 0.313], [0.500, 0.000, 0.813], [0.500, 0.500, 0.003]]
}

2.
{
  "formula": "Re2HgPb",
  "functional": "PBE-GGA",
  "state": "optimized geometry",
  "spacegroup": "I4/mmm (139)",
  "n_ef_per_ev_cell": 11.3,
  "mass_density_g_cm3": 17.4,
  "volume_a3_per_cell": 149.3,
  "magmom_total_mub_per_fu": 0.00,
  "ef_kcal_per_mol_atoms": 31.61,
  "e_above_lowest_polymorph_ev_per_atom": 0.9481,
  "lattice": [[4.143, 0.000, 0.000], [0.000, 4.143, 0.000], [0.000, 0.000, 8.698]],
  "species": ["Re", "Re", "Re", "Re", "Hg", "Hg", "Pb", "Pb"],
  "fractional_positions": [[0.000, 0.500, 0.250], [0.000, 0.500, 0.750], [0.500, 0.000, 0.250], [0.500, 0.000, 0.750], [0.000, 0.000, 0.000], [0.500, 0.500, 0.500], [0.000, 0.000, 0.500], [0.500, 0.500, 0.000]]
}

3.
{
  "formula": "ReHgPb2",
  "functional": "PBE-GGA",
  "state": "optimized geometry",
  "spacegroup": "Cmm2 (35)",
  "n_ef_per_ev_cell": 4.3,
  "mass_density_g_cm3": 13.7,
  "volume_a3_per_cell": 193.7,
  "magmom_total_mub_per_fu": 0.57,
  "ef_kcal_per_mol_atoms": 17.44,
  "lattice": [[3.344, 0.000, 0.000], [0.000, 5.363, 0.000], [0.000, 0.000, 10.798]],
  "species": ["Re", "Re", "Hg", "Hg", "Pb", "Pb", "Pb", "Pb"],
  "fractional_positions": [[0.000, 0.000, 0.000], [0.500, 0.500, 0.000], [0.000, 0.500, 0.788], [0.500, 0.000, 0.788], [0.000, 0.000, 0.537], [0.000, 0.500, 0.214], [0.500, 0.000, 0.214], [0.500, 0.500, 0.537]]
}

4.
{
  "formula": "ReHgPb2",
  "functional": "PBE-GGA",
  "state": "optimized geometry",
  "spacegroup": "I-4m2 (119)",
  "n_ef_per_ev_cell": 5.8,
  "mass_density_g_cm3": 14.2,
  "volume_a3_per_cell": 186.9,
  "magmom_total_mub_per_fu": 1.43,
  "ef_kcal_per_mol_atoms": 23.17,
  "lattice": [[4.378, 0.000, 0.000], [0.000, 4.378, 0.000], [0.000, 0.000, 9.751]],
  "species": ["Re", "Re", "Hg", "Hg", "Pb", "Pb", "Pb", "Pb"],
  "fractional_positions": [[0.000, 0.000, 0.000], [0.500, 0.500, 0.500], [0.000, 0.500, 0.750], [0.500, 0.000, 0.250], [0.000, 0.000, 0.500], [0.000, 0.500, 0.250], [0.500, 0.000, 0.750], [0.500, 0.500, 0.000]]
}